Below is a relaxed structure of PmZn2Pd5, with properties calculated at the PBE level.

Cell lengths 3.9350, 6.7442, 10.7381 Å; angles 90.00, 90.00, 90.00 degrees
Closest atoms and distances in Å follow each position.
Space group Immm (No. 71)
Unique sites:
Pm  0.0000  0.0000  0.0000  10 Pd 3.13-3.37, 4 Zn 3.49
Zn  0.0000  0.5000  0.2316  7 Pd 2.45-2.64
Pd  0.0000  0.2079  0.3678  3 Zn 2.45-2.64
Pd  0.0000  0.5000  0.0000  2 Zn 2.49

The density of states at the Fermi level comes out at 2.888 states/eV per cell. For the total DFT energy (no corrections), the calculation gives -4.6907 eV/atom. The calculated density comes out at 9.4 g/cm³. As for the crystal system: orthorhombic. The total moment is 0.000 μB/atom. The formation energy is -533 meV per atom.

Below is a relaxed structure of Hf4FePd, with properties calculated at the PBE level.

Cell lengths 6.4087, 6.4087, 5.5709 Å; angles 90.00, 90.00, 90.00 degrees
Closest atoms and distances in Å follow each position.
Space group P4/mcc (No. 124)
Unique sites:
Hf  0.1556  0.3150  0.0000  2 Fe 2.65, 2 Pd 2.87
Fe  0.0000  0.0000  0.2500  8 Hf 2.65, 2 Fe 2.79
Pd  0.5000  0.5000  0.2500  2 Pd 2.79, 8 Hf 2.87

The density of states at the Fermi level comes out at 16.478 states/eV per cell. As for the offset from the most stable computed form: 0 meV/atom. For the total DFT energy (no corrections), the calculation gives -9.2515 eV/atom. The calculated density comes out at 12.7 g/cm³. As for the crystal system: tetragonal. The total moment is 0.000 μB/atom. The formation energy is -340 meV per atom.

Below is a relaxed structure of Pr4Er5Sc, with properties calculated at the PBE level.

Cell lengths 10.7371, 10.7371, 5.8171 Å; angles 90.00, 90.00, 90.00 degrees
Closest atoms and distances in Å follow each position.
Space group I4mm (No. 107)
Unique sites:
Pr  0.0000  0.3210  0.0000  5 Er 3.37-3.76, 1 Sc 3.73
Er  0.0000  0.0000  0.2329  2 Sc 2.78-3.04
Er  0.1860  0.1860  0.5133  1 Sc 3.16, 3 Er 3.26-3.50, 2 Pr 3.37
Sc  0.0000  0.0000  0.7552  2 Er 2.78-3.04

The density of states at the Fermi level comes out at 27.519 states/eV per cell. As for the offset from the most stable computed form: 175 meV/atom. For the total DFT energy (no corrections), the calculation gives -4.6152 eV/atom. The calculated density comes out at 7.2 g/cm³. As for the crystal system: tetragonal. The total moment is 0.000 μB/atom. The formation energy is 211 meV per atom.

Below is a relaxed structure of KBi3Pt3, with properties calculated at the PBE level.

Cell lengths 7.6859, 7.6859, 7.6859 Å; angles 90.00, 90.00, 90.00 degrees
Closest atoms and distances in Å follow each position.
Space group Pm-3n (No. 223)
Unique sites:
K  0.0000  0.0000  0.0000  12 Bi 4.30, 12 Pt 4.30
Bi  0.0000  0.2500  0.5000  4 Pt 2.72
Pt  0.0000  0.5000  0.2500  4 Bi 2.72

The density of states at the Fermi level comes out at 14.217 states/eV per cell. As for the offset from the most stable computed form: 54 meV/atom. For the total DFT energy (no corrections), the calculation gives -4.5324 eV/atom. The calculated density comes out at 9.2 g/cm³. As for the crystal system: cubic. The total moment is 0.000 μB/atom. The formation energy is -123 meV per atom.

Below is a relaxed structure of TlOsI2O, with properties calculated at the PBE level.

Cell lengths 5.8317, 5.8317, 3.7938 Å; angles 90.00, 90.00, 90.00 degrees
Closest atoms and distances in Å follow each position.
Space group P4/mmm (No. 123)
Unique sites:
Tl  0.0000  0.0000  0.0000  8 I 3.48, 2 Tl 3.79
Os  0.5000  0.5000  0.5000  2 O 1.90
I  0.0000  0.5000  0.5000  2 Os 2.92
O  0.5000  0.5000  0.0000  2 Os 1.90

The density of states at the Fermi level comes out at 3.657 states/eV per cell. The energy relative to the elements, uncorrected comes out at -0.91 eV/f.u. As for the offset from the most stable computed form: 0 meV/atom. For the total DFT energy (no corrections), the calculation gives -4.5135 eV/atom. The calculated density comes out at 8.6 g/cm³. As for the crystal system: tetragonal. The total moment is 0.082 μB/atom.

Below is a relaxed structure of Ho2Pa2Co3, with properties calculated at the PBE level.

Cell lengths 12.4238, 3.5885, 8.6016 Å; angles 90.00, 129.40, 90.00 degrees
Closest atoms and distances in Å follow each position.
Space group C2/m (No. 12)
Unique sites:
Ho  0.0684  0.0000  0.3737  5 Co 2.75-3.08
Pa  0.1820  0.5000  0.1053  4 Co 2.51-2.56
Co  0.0000  0.0000  0.0000  4 Pa 2.56, 2 Ho 2.75
Co  0.1350  0.5000  0.7167  2 Pa 2.51, 2 Ho 2.78

The density of states at the Fermi level comes out at 13.468 states/eV per cell. For the total DFT energy (no corrections), the calculation gives -7.3540 eV/atom. The calculated density comes out at 10.9 g/cm³. As for the crystal system: monoclinic. The total moment is 0.000 μB/atom. The formation energy is -288 meV per atom.

Below is a relaxed structure of LaSmCu3, with properties calculated at the PBE level.

Cell lengths 3.8431, 25.9172, 4.3780 Å; angles 90.00, 90.00, 90.00 degrees
Closest atoms and distances in Å follow each position.
Space group Cmcm (No. 63)
Unique sites:
La  0.0000  0.0719  0.2500  12 Cu 3.13-3.23
Sm  0.0000  0.2043  0.7500  7 Cu 2.92-3.20
Cu  0.0000  0.3279  0.7500  2 Cu 2.58
Cu  0.0000  0.3805  0.2500  3 Cu 2.49-2.58
Cu  0.0000  0.4765  0.2500  3 Cu 2.49-2.51

The density of states at the Fermi level comes out at 16.882 states/eV per cell. For the total DFT energy (no corrections), the calculation gives -4.5966 eV/atom. The calculated density comes out at 7.3 g/cm³. As for the crystal system: orthorhombic. The total moment is 0.000 μB/atom. The formation energy is -210 meV per atom.

Below is a relaxed structure of Pr8HgTe4P3, with properties calculated at the PBE level.

Cell lengths 8.7319, 8.7319, 21.9545 Å; angles 90.00, 90.00, 120.00 degrees
Closest atoms and distances in Å follow each position.
Space group R-3m (No. 166, hexagonal axes)
Unique sites:
Pr  0.0000  0.0000  0.2373  3 P 2.96, 3 Te 3.29
Pr  0.0124  0.5062  0.7580  2 P 2.98, 1 Hg 3.09, 3 Te 3.15-3.26
Hg  0.0000  0.0000  0.5000  6 Pr 3.09
Te  0.0000  0.0000  0.0000  6 Pr 3.15
Te  0.0000  0.5000  0.0000  6 Pr 3.26-3.29
P  0.0000  0.5000  0.5000  6 Pr 2.96-2.98

The density of states at the Fermi level comes out at 24.142 states/eV per cell. The energy relative to the elements, uncorrected comes out at -22.21 eV/f.u. For the total DFT energy (no corrections), the calculation gives -5.5967 eV/atom. The calculated density comes out at 6.6 g/cm³. As for the crystal system: trigonal. The total moment is 0.000 μB/atom.